VASP calculation (PBE) on an optimized crystal structure of YLuTe3.

Cell: 7.645 7.645 7.457 Å, 99.43 99.43 121.62°
Fractional coordinates of all 10 atoms:
Y (0.162, 0.838, 0.000)
Y (0.838, 0.162, 0.000)
Lu (0.336, 0.664, 0.500)
Lu (0.664, 0.336, 0.500)
Te (0.073, 0.425, 0.745)
Te (0.258, 0.258, 0.253)
Te (0.425, 0.073, 0.745)
Te (0.575, 0.927, 0.255)
Te (0.742, 0.742, 0.747)
Te (0.927, 0.575, 0.255)

Energy relative to the lowest polymorph listed for this composition: 0.030 eV per atom
E_form (uncorrected): -1.3612 eV/atom

***

VASP calculation (PBE) on an optimized crystal structure of TaBe2Al.

Cell: 2.832 2.832 6.340 Å, 90.00 90.00 90.00°
Fractional coordinates of all 4 atoms:
Ta (0.000, 0.000, 0.000)
Be (0.000, 0.000, 0.568)
Be (0.500, 0.500, 0.721)
Al (0.500, 0.500, 0.315)

Formation energy: 0.013 eV/atom

***

VASP calculation (PBE) on an optimized crystal structure of AcPrErMg.

Cell: 5.755 5.755 5.755 Å, 60.00 60.00 60.00°
Fractional coordinates of all 4 atoms:
Ac (0.000, 0.000, 0.000)
Pr (0.250, 0.250, 0.250)
Er (0.750, 0.750, 0.750)
Mg (0.500, 0.500, 0.500)

Energy relative to the lowest polymorph listed for this composition: 0.142 eV per atom
Formation energy: 0.127 eV/atom

***

VASP calculation (PBE) on an optimized crystal structure of Ba3Sn2O7.

Cell: 11.299 11.299 11.299 Å, 158.53 158.53 30.55°
Fractional coordinates of all 12 atoms:
Ba (0.000, 0.000, 0.000)
Ba (0.185, 0.185, 0.000)
Ba (0.815, 0.815, 0.000)
Sn (0.404, 0.404, 0.000)
Sn (0.596, 0.596, 0.000)
O (0.095, 0.595, 0.500)
O (0.308, 0.308, 0.000)
O (0.405, 0.905, 0.500)
O (0.500, 0.500, 0.000)
O (0.595, 0.095, 0.500)
O (0.692, 0.692, 0.000)
O (0.905, 0.405, 0.500)

Energy relative to the lowest polymorph listed for this composition: 0.000 eV per atom
E_form (uncorrected): -2.2621 eV/atom

***

VASP calculation (PBE) on an optimized crystal structure of LaGaRu2.

Cell: 9.245 9.245 9.245 Å, 151.13 151.13 41.28°
Fractional coordinates of all 8 atoms:
La (0.000, 0.000, 0.000)
La (0.750, 0.250, 0.500)
Ga (0.250, 0.750, 0.500)
Ga (0.500, 0.500, 0.000)
Ru (0.286, 0.625, 0.161)
Ru (0.375, 0.536, 0.661)
Ru (0.464, 0.125, 0.839)
Ru (0.875, 0.714, 0.339)

Formation energy: 0.055 eV/atom

***

VASP calculation (PBE) on an optimized crystal structure of RbCaGaN2.

Cell: 4.997 4.997 6.050 Å, 90.00 90.00 90.00°
Fractional coordinates of all 5 atoms:
Rb (0.000, 0.000, 0.000)
Ca (0.000, 0.000, 0.500)
Ga (0.500, 0.500, 0.500)
N (0.000, 0.500, 0.000)
N (0.500, 0.000, 0.000)

E_form (uncorrected): 1.9955 eV/atom

***

VASP calculation (PBE) on an optimized crystal structure of CoHRh.

Cell: 5.316 5.316 5.316 Å, 151.58 151.58 40.63°
Fractional coordinates of all 3 atoms:
Co (0.000, 0.000, 0.000)
H (0.841, 0.841, 0.000)
Rh (0.674, 0.674, 0.000)

Final energy: -5.54 eV/atom

***

VASP calculation (PBE) on an optimized crystal structure of NdMnReSi2.

Cell: 6.033 6.033 6.033 Å, 140.79 140.79 56.65°
Fractional coordinates of all 5 atoms:
Nd (0.000, 0.000, 0.000)
Mn (0.250, 0.750, 0.500)
Re (0.750, 0.250, 0.500)
Si (0.379, 0.379, 0.000)
Si (0.621, 0.621, 0.000)

E_form (uncorrected): -0.5304 eV/atom